BaYHfAu2: optimized geometry, PBEsol.

Cell and atoms, written as POSCAR:
```
BaYHfAu2
1.0
5.460 0.000 0.000
0.000 5.460 0.000
0.000 0.000 5.427
Ba Y Hf Au
1 1 1 2
Cartesian
0.000 0.000 0.000
2.730 2.730 2.713
0.000 0.000 2.713
0.000 2.730 0.000
2.730 0.000 0.000
```

## Properties
- calculated volume (Å³/cell) = 161.8
- formation enthalpy at 0 K (kcal/mol of atoms) = 28.0
- calculated total energy (eV/atom) = -4.249

Ba2MgHg: optimized geometry, PBEsol.

Cell and atoms, written as POSCAR:
```
Ba2MgHg
1.0
0.000 4.187 4.187
4.187 0.000 4.187
4.187 4.187 0.000
Ba Mg Hg
2 1 1
Cartesian
2.094 2.094 2.094
6.281 6.281 6.281
0.000 0.000 0.000
4.187 4.187 4.187
```

## Properties
- calculated volume (Å³/cell) = 146.8
- formation enthalpy at 0 K (kcal/mol of atoms) = -6.5
- excess energy over the best structure of this formula in the dataset (meV per atom) = 28
- calculated total energy (eV/atom) = -1.929

KCdCu: optimized geometry, PBEsol.

Cell and atoms, written as POSCAR:
```
KCdCu
1.0
-1.789 1.789 6.014
1.789 -1.789 6.014
1.789 1.789 -6.014
K Cd Cu
1 1 1
Cartesian
0.000 0.000 0.000
0.000 0.000 8.731
0.000 0.000 3.321
```

## Properties
- calculated volume (Å³/cell) = 77.0
- formation enthalpy at 0 K (kcal/mol of atoms) = 5.0
- excess energy over the best structure of this formula in the dataset (meV per atom) = 0
- calculated total energy (eV/atom) = -2.004

Mo3W: optimized geometry, PBEsol.

Cell and atoms, written as POSCAR:
```
Mo3W
1.0
0.000 3.134 3.134
3.134 0.000 3.134
3.134 3.134 0.000
Mo W
3 1
Cartesian
0.000 0.000 0.000
1.567 1.567 1.567
4.700 4.700 4.700
3.134 3.134 3.134
```

## Properties
- calculated volume (Å³/cell) = 61.5
- formation enthalpy at 0 K (kcal/mol of atoms) = -0.1
- excess energy over the best structure of this formula in the dataset (meV per atom) = 0
- calculated total energy (eV/atom) = -12.280